Record 1
The following is a DFT calculation (PBE) of an optimized crystal structure of CaCdHg.

Structure (CIF):
```
data_CaCdHg
_chemical_formula_sum 'Ca2 Cd2 Hg2'
_symmetry_space_group_name_H-M 'I 4 m m'
_symmetry_Int_Tables_number 107
_symmetry_space_group_name_Hall 'I 4 -2'
_cell_length_a 3.924
_cell_length_b 3.924
_cell_length_c 10.065
_cell_angle_alpha 90.00
_cell_angle_beta 90.00
_cell_angle_gamma 90.00
loop_
_atom_site_label
_atom_site_type_symbol
_atom_site_fract_x
_atom_site_fract_y
_atom_site_fract_z
Ca1 Ca 0.000 0.000 0.000
Cd1 Cd 0.000 0.000 0.324
Hg1 Hg 0.000 0.000 0.671
```


Record 2
The following is a DFT calculation (PBE) of an optimized crystal structure of CaCd6Hg5.

Structure (CIF):
```
data_CaCd6Hg5
_chemical_formula_sum 'Ca2 Cd12 Hg10'
_symmetry_space_group_name_H-M 'C 1 2/m 1'
_symmetry_Int_Tables_number 12
_cell_length_a 12.267
_cell_length_b 9.918
_cell_length_c 5.385
_cell_angle_alpha 90.00
_cell_angle_beta 115.50
_cell_angle_gamma 90.00
loop_
_symmetry_equiv_pos_as_xyz
'x,y,z'
'-x,-y,-z'
'-x,y,-z'
'x,-y,z'
'x+1/2,y+1/2,z'
'-x+1/2,-y+1/2,-z'
'-x+1/2,y+1/2,-z'
'x+1/2,-y+1/2,z'
loop_
_atom_site_label
_atom_site_type_symbol
_atom_site_fract_x
_atom_site_fract_y
_atom_site_fract_z
Ca1 Ca 0.000 0.000 0.000
Cd1 Cd 0.244 0.000 0.745
Cd2 Cd 0.245 0.332 0.746
Hg1 Hg 0.000 0.171 0.500
Hg2 Hg 0.000 0.331 0.000
Hg3 Hg 0.000 0.500 0.500
```


Record 3
# PBE CaCd2Hg2, relaxed
data_CaCd2Hg2
_chemical_formula_sum 'Ca2 Cd4 Hg4'
_symmetry_space_group_name_H-M 'I 4/m m m'
_symmetry_Int_Tables_number 139
_symmetry_space_group_name_Hall '-I 4 2'
_cell_length_a 4.385
_cell_length_b 4.385
_cell_length_c 13.554
_cell_angle_alpha 90.00
_cell_angle_beta 90.00
_cell_angle_gamma 90.00
loop_
_atom_site_label
_atom_site_type_symbol
_atom_site_fract_x
_atom_site_fract_y
_atom_site_fract_z
Ca1 Ca 0.000 0.000 0.000
Cd1 Cd 0.000 0.500 0.250
Hg1 Hg 0.000 0.000 0.396
# - ΔE to the lowest computed polymorph: 0.024 eV/atom


For each record above, in turn, the calculated calculated total energy values are -8.7; -20.1; -11.4 eV/cell.
For each record above, in turn, the calculated formation enthalpy at 0 K values are -109; -100; -120 kJ/mol of formula units.